A crystal of PbBr7 relaxed with PBEsol, computed with meta-GGA SCAN.

Structure (CIF):
```
data_PbBr7
_chemical_formula_sum 'Pb4 Br28'
_cell_length_a 9.3119
_cell_length_b 9.3119
_cell_length_c 9.3119
_cell_angle_alpha 90.00
_cell_angle_beta 90.00
_cell_angle_gamma 90.00
_symmetry_space_group_name_H-M 'F m -3 m'
_symmetry_Int_Tables_number 225
_symmetry_space_group_name_Hall '-F 4 2 3'
loop_
_atom_site_label
_atom_site_type_symbol
_atom_site_fract_x
_atom_site_fract_y
_atom_site_fract_z
Pb1 Pb 0.0000 0.0000 0.0000
Br1 Br 0.0000 0.0000 0.5000
Br2 Br 0.0000 0.2500 0.2500
```

Results
- total magnetic moment (μB per formula unit) = 0.01
- DOS at the Fermi energy (states/eV/f.u.) = 11.13
- V (Å³ per cell) = 807.4
- ΔE_f (raw) (meV per atom) = 233.0